CeMgGa2Ni2: optimized geometry, PBE.

Geometry as POSCAR:
```
CeMgGa2Ni2
1.0
-0.630 -2.066 -3.660
-2.469 -0.827 3.360
-4.246 4.751 -1.951
Ce Mg Ga Ni
1 1 2 2
Direct
0.000 0.000 0.000
0.000 0.000 0.500
0.667 0.333 0.705
0.333 0.667 0.295
0.667 0.333 0.294
0.333 0.667 0.706
```

Computed properties:
Calculated density (g/cm3): 6.7
Total magnetization (μB per atom): 0.088
Formation energy from the elements (eV/atom): -0.44
DFT total energy (eV per atom): -4.63